# 1
Compound: Sb2Pd6Se
Source: the Alexandria database
Functional: GGA-PBE
Structure: optimized geometry

Properties
For the uncorrected formation energy, the calculation gives -0.330 eV/atom. The magnetization comes out at 0.00 μB per formula unit.

Cell lengths 7.431, 7.431, 3.265 Å; angles 90.00, 90.00, 120.00 degrees
Sites, in units of the cell vectors:
Sb 0.333 0.667 0.000
Sb 0.667 0.333 0.000
Pd 0.000 0.287 0.000
Pd 0.000 0.623 0.500
Pd 0.287 0.000 0.000
Pd 0.377 0.377 0.500
Pd 0.623 0.000 0.500
Pd 0.713 0.713 0.000
Se 0.000 0.000 0.500


# 2
Compound: Nb2VMo
Source: the Alexandria database
Functional: GGA-PBE
Structure: optimized geometry

Properties
The excess energy over the best structure of this formula in the dataset comes out at 0.014 eV per atom. The magnetization comes out at 0.01 μB per formula unit. Its energy of formation from the pure elements is -40 meV/atom.

Cell lengths 5.510, 5.510, 4.590 Å; angles 90.00, 90.00, 108.67 degrees
Sites, in units of the cell vectors:
Nb 0.124 0.374 0.250
Nb 0.374 0.124 0.750
Nb 0.626 0.876 0.250
Nb 0.876 0.626 0.750
V 0.379 0.621 0.750
V 0.621 0.379 0.250
Mo 0.128 0.872 0.250
Mo 0.872 0.128 0.750


# 3
Compound: TiHg2GeI
Source: the Alexandria database
Functional: GGA-PBE
Structure: optimized geometry

Properties
For the uncorrected formation energy, the calculation gives 0.389 eV/atom. The magnetization comes out at 2.35 μB per formula unit.

Cell lengths 5.577, 5.577, 5.102 Å; angles 90.00, 90.00, 90.00 degrees
Sites, in units of the cell vectors:
Ti 0.000 0.000 0.000
Hg 0.000 0.500 0.000
Hg 0.500 0.000 0.000
Ge 0.000 0.000 0.500
I 0.500 0.500 0.500


Q: Among the records above, which one has the lowest magnetization?
A: Sb2Pd6Se